Record 1
First-principles (PBE-GGA) data for a relaxed structure of HfSnN2F, as listed in Alexandria via LeMat-Bulk.

The space group is P4/mmm (No. 123) and the conventional cell measures 4.144, 4.144 and 3.957 Å, with angles of 90.00, 90.00 and 90.00 degrees. The asymmetric unit holds Hf at (0.000, 0.000, 0.000), Sn at (0.500, 0.500, 0.500), N at (0.000, 0.500, 0.500) and F at (0.500, 0.500, 0.000).

For the density of states at the Fermi level, the calculation gives 2.674 states/eV per cell. The value obtained for the uncorrected formation energy is 0.08 eV/atom.

=====

Record 2
First-principles (PBE-GGA) data for a relaxed structure of HfSnN2F, as listed in Alexandria via LeMat-Bulk.

The space group is P4/mmm (No. 123) and the conventional cell measures 4.264, 4.264 and 4.111 Å, with angles of 90.00, 90.00 and 90.00 degrees. The asymmetric unit holds Hf at (0.000, 0.000, 0.000), Sn at (0.500, 0.500, 0.500), N at (0.000, 0.500, 0.000) and F at (0.000, 0.000, 0.500).

For the density of states at the Fermi level, the calculation gives 3.166 states/eV per cell. The value obtained for the uncorrected formation energy is -0.87 eV/atom.

=====

Record 3
First-principles (PBE-GGA) data for a relaxed structure of HfSnNF2, as listed in Alexandria via LeMat-Bulk.

The space group is P4/mmm (No. 123) and the conventional cell measures 4.320, 4.320 and 4.382 Å, with angles of 90.00, 90.00 and 90.00 degrees. The asymmetric unit holds Hf at (0.000, 0.000, 0.000), Sn at (0.500, 0.500, 0.500), N at (0.500, 0.500, 0.000) and F at (0.000, 0.500, 0.500).

For the density of states at the Fermi level, the calculation gives 4.061 states/eV per cell. The value obtained for the uncorrected formation energy is -0.27 eV/atom.

=====

Record 4
First-principles (PBE-GGA) data for a relaxed structure of HfSnNF2, as listed in Alexandria via LeMat-Bulk.

The space group is P4/mmm (No. 123) and the conventional cell measures 4.273, 4.273 and 4.233 Å, with angles of 90.00, 90.00 and 90.00 degrees. The asymmetric unit holds Hf at (0.000, 0.000, 0.000), Sn at (0.500, 0.500, 0.500), N at (0.000, 0.000, 0.500) and F at (0.000, 0.500, 0.000).

For the density of states at the Fermi level, the calculation gives 1.723 states/eV per cell. The value obtained for the uncorrected formation energy is -1.66 eV/atom.

=====

Record 5
First-principles (PBE-GGA) data for a relaxed structure of SrHfN2F, as listed in Alexandria via LeMat-Bulk.

The space group is P4/mmm (No. 123) and the conventional cell measures 4.514, 4.514 and 4.189 Å, with angles of 90.00, 90.00 and 90.00 degrees. The asymmetric unit holds Sr at (0.000, 0.000, 0.000), Hf at (0.500, 0.500, 0.500), N at (0.000, 0.500, 0.000) and F at (0.000, 0.000, 0.500).

For the density of states at the Fermi level, the calculation gives 1.504 states/eV per cell. The value obtained for the uncorrected formation energy is 0.46 eV/atom.

=====

Record 6
First-principles (PBE-GGA) data for a relaxed structure of SrHfN2F, as listed in Alexandria via LeMat-Bulk.

The space group is P4/mmm (No. 123) and the conventional cell measures 4.231, 4.231 and 4.211 Å, with angles of 90.00, 90.00 and 90.00 degrees. The asymmetric unit holds Sr at (0.000, 0.000, 0.000), Hf at (0.500, 0.500, 0.500), N at (0.000, 0.500, 0.500) and F at (0.500, 0.500, 0.000).

For the density of states at the Fermi level, the calculation gives 3.267 states/eV per cell. The value obtained for the uncorrected formation energy is -1.68 eV/atom.

=====

Q: The lowest uncorrected formation energy belongs to which entry?
A: number 6